No. 1
A relaxed structure of Al2CuRh. Source: the Alexandria database, functional PBEsol.

distance to the lowest polymorph of the same formula = 0 meV per atom
N(E_F) = 1.59 states/eV per cell
total magnetic moment = 0.00 μB/f.u.
electronic total energy = -23.24 eV per cell
energy relative to the elements = -2.58 eV per formula unit
theoretical density = 7.01 g/cm³

Geometry as POSCAR:
```
Al2CuRh
1.0
4.205 0.000 0.000
0.000 4.205 0.000
0.000 0.000 2.954
Al Cu Rh
2 1 1
direct
0.000 0.500 0.000
0.500 0.000 0.000
0.000 0.000 0.500
0.500 0.500 0.500
```

=====

No. 2
A relaxed structure of Al3CuRh. Source: the Alexandria database, functional PBEsol.

N(E_F) = 1.92 states/eV per cell
total magnetic moment = 0.00 μB/f.u.
electronic total energy = -24.11 eV per cell
energy relative to the elements = 0.64 eV per formula unit
theoretical density = 4.20 g/cm³

Geometry as POSCAR:
```
Al3CuRh
1.0
4.608 0.000 0.000
0.000 4.608 0.000
0.000 0.000 4.608
Al Cu Rh
3 1 1
direct
0.000 0.000 0.500
0.000 0.500 0.000
0.500 0.000 0.000
0.500 0.500 0.500
0.000 0.000 0.000
```

=====

No. 3
A relaxed structure of Al2CuRu. Source: the Alexandria database, functional PBEsol.

N(E_F) = 1.53 states/eV per cell
total magnetic moment = 0.00 μB/f.u.
electronic total energy = -24.67 eV per cell
energy relative to the elements = -1.98 eV per formula unit
theoretical density = 7.00 g/cm³

Geometry as POSCAR:
```
Al2CuRu
1.0
2.930 -2.934 0.000
2.930 2.934 0.000
0.000 0.000 3.015
Al Cu Ru
2 1 1
direct
0.000 0.500 0.000
0.500 0.000 0.000
0.000 0.000 0.500
0.500 0.500 0.500
```